(1)
Material: Th3Ni4Au2
Method: DFT, GGA-PBE
State: optimized geometry

## Properties
- SG: C2/m, No. 12
- Formation enthalpy at 0 K: -0.509 eV/atom
- V: 180.11 Å³/cell
- E_tot: -6.280 eV/atom

Geometry as POSCAR:
```
Th3Ni4Au2
1.0
-1.755 2.004 2.973
-3.938 -0.638 -4.575
0.705 -7.031 5.155
Au Th Ni
2 3 4
Direct
0.652 0.303 0.311
0.348 0.697 0.689
0.361 0.721 0.304
0.000 0.000 0.000
0.639 0.279 0.696
0.715 0.429 0.053
0.285 0.571 0.947
0.933 0.866 0.575
0.067 0.134 0.425
```



(2)
Material: La2Tb2Sn2H
Method: DFT, GGA-PBE
State: optimized geometry

## Properties
- SG: I4/mmm, No. 139
- V: 192.53 Å³/cell
- E_tot: -5.013 eV/atom

Geometry as POSCAR:
```
La2Tb2Sn2H
1.0
-3.994 1.270 -2.125
1.183 -2.565 -3.755
-2.631 -6.268 6.392
Sn H Tb La
2 1 2 2
Direct
0.371 0.371 0.742
0.629 0.629 0.258
0.000 0.000 0.000
0.000 0.500 0.000
0.500 0.000 0.000
0.179 0.179 0.357
0.821 0.821 0.643
```



(3)
Material: AgHgSe2
Method: DFT, GGA-PBE
State: optimized geometry

## Properties
- SG: R-3m, No. 166
- Formation energy (no corrections): 210 meV per atom
- V: 94.89 Å³/cell
- E_tot: -2.320 eV/atom

Geometry as POSCAR:
```
AgHgSe2
1.0
1.764 0.000 11.736
-0.882 1.528 11.736
-0.882 -1.528 11.736
Ag Se Hg
1 2 1
Direct
0.000 0.000 0.000
0.072 0.072 0.072
0.928 0.928 0.928
0.500 0.500 0.500
```



Number 1: calculated density 12.214 Mg/m³, Fermi-level density of states 7.00 states/eV per cell. Number 2: calculated density 7.194 Mg/m³, Fermi-level density of states 6.68 states/eV per cell. Number 3: calculated density 8.161 Mg/m³, Fermi-level density of states 1.84 states/eV per cell.